# Pm3Dy3YTe8 (PBE-GGA, optimized geometry)
# E in eV/atom: -5.385
# Formation energy (no corrections) in eV per atom: -1.41
data_Pm3Dy3YTe8
_chemical_formula_sum 'Pm9 Dy9 Y3 Te24'
_cell_length_a 8.7728
_cell_length_b 8.7728
_cell_length_c 21.5864
_cell_angle_alpha 90.00
_cell_angle_beta 90.00
_cell_angle_gamma 120.00
_space_group_name_H-M_alt 'R -3 m'
_space_group_IT_number 166
_space_group_name_Hall '-R 3 2"'
loop_
_atom_site_label
_atom_site_type_symbol
_atom_site_fract_x
_atom_site_fract_y
_atom_site_fract_z
Pm1 Pm 0.0000 0.5000 0.0000
Dy1 Dy 0.0000 0.5000 0.5000
Y1 Y 0.0000 0.0000 0.5000
Te1 Te 0.0000 0.0000 0.2470
Te2 Te 0.0088 0.5044 0.7508


# Pm3Dy2YTe6 (PBE-GGA, optimized geometry)
# E in eV/atom: -5.416
# Formation energy (no corrections) in eV per atom: -1.35
data_Pm3Dy2YTe6
_chemical_formula_sum 'Pm6 Dy4 Y2 Te12'
_cell_length_a 19.283
_cell_length_b 4.380
_cell_length_c 8.895
_cell_angle_alpha 90.00
_cell_angle_beta 104.01
_cell_angle_gamma 90.00
_space_group_name_H-M_alt 'C 1 2/m 1'
_space_group_IT_number 12
loop_
_space_group_symop_operation_xyz
'x,y,z'
'-x,-y,-z'
'-x,y,-z'
'x,-y,z'
'x+1/2,y+1/2,z'
'-x+1/2,-y+1/2,-z'
'-x+1/2,y+1/2,-z'
'x+1/2,-y+1/2,z'
loop_
_atom_site_label
_atom_site_type_symbol
_atom_site_fract_x
_atom_site_fract_y
_atom_site_fract_z
Pm1 Pm 0.000 0.000 0.000
Pm2 Pm 0.166 0.500 0.333
Dy1 Dy 0.167 0.500 0.833
Y1 Y 0.000 0.000 0.500
Te1 Te 0.002 0.500 0.745
Te2 Te 0.165 0.000 0.589
Te3 Te 0.169 0.000 0.078


# Pm2DyYTe6 (PBE-GGA, optimized geometry)
# E in eV/atom: -5.319
# Formation energy (no corrections) in eV per atom: -1.38
data_Pm2DyYTe6
_chemical_formula_sum 'Pm6 Dy3 Y3 Te18'
_cell_length_a 7.8068
_cell_length_b 7.8068
_cell_length_c 21.2463
_cell_angle_alpha 90.00
_cell_angle_beta 90.00
_cell_angle_gamma 120.00
_space_group_name_H-M_alt 'R 3'
_space_group_IT_number 146
_space_group_name_Hall 'R 3'
loop_
_atom_site_label
_atom_site_type_symbol
_atom_site_fract_x
_atom_site_fract_y
_atom_site_fract_z
Pm1 Pm 0.0000 0.0000 0.0000
Pm2 Pm 0.0000 0.0000 0.4997
Dy1 Dy 0.0000 0.0000 0.1885
Y1 Y 0.0000 0.0000 0.6883
Te1 Te 0.0294 0.3493 0.7639
Te2 Te 0.0286 0.6793 0.2635